! BaPmCd2 | Alexandria | GGA-PBE | optimized geometry; values from VASP
&SYSTEM
  ibrav = 0, nat = 4, ntyp = 3
/
ATOMIC_SPECIES
Pm 145.00 Pm.upf
Cd 112.41 Cd.upf
Ba 137.33 Ba.upf
CELL_PARAMETERS angstrom
3.971 0.000 0.000
1.986 3.439 0.000
1.986 1.146 10.296
ATOMIC_POSITIONS angstrom
Pm 0.000 0.000 0.000
Cd 5.957 3.439 7.949
Ba 3.971 2.293 5.148
Cd 1.986 1.146 2.347
! Final energy ... -2.195 eV per atom
! DOS at the Fermi energy ... 1.1780 states/eV/atom
! DFT formation energy ... -69 meV/atom